Entry 1:
Here is a relaxed Cs2K6Na crystal from the Alexandria database. Energies are from PBE-GGA.

Results
Magnetic moment: 0.00 μB per cell
DOS at the Fermi energy: 14.57 states/eV/cell
ΔE_f: 0.030 eV per atom
Excess energy over the best structure of this formula in the dataset: 7 meV/atom
Electronic total energy: -1.038 eV per atom

```
data_Cs2K6Na
_chemical_formula_sum 'Cs4 K12 Na2'
_symmetry_space_group_name_H-M 'C 1 2/m 1'
_symmetry_Int_Tables_number 12
_cell_length_a 21.351
_cell_length_b 14.088
_cell_length_c 4.761
_cell_angle_alpha 90.00
_cell_angle_beta 102.84
_cell_angle_gamma 90.00
loop_
_symmetry_equiv_pos_as_xyz
'x,y,z'
'-x,-y,-z'
'-x,y,-z'
'x,-y,z'
'x+1/2,y+1/2,z'
'-x+1/2,-y+1/2,-z'
'-x+1/2,y+1/2,-z'
'x+1/2,-y+1/2,z'
loop_
_atom_site_label
_atom_site_type_symbol
_atom_site_fract_x
_atom_site_fract_y
_atom_site_fract_z
_atom_site_occupancy
Cs1 Cs 0.129 0.000 0.107 1
K1 K 0.000 0.257 0.500 1
K2 K 0.178 0.345 0.187 1
Na1 Na 0.000 0.500 0.000 1
```

Entry 2:
Here is a relaxed CoSi2Rh crystal from the Alexandria database. Energies are from PBE-GGA.

Results
Magnetic moment: 0.00 μB per cell
DOS at the Fermi energy: 8.29 states/eV/cell
Excess energy over the best structure of this formula in the dataset: 585 meV/atom
Electronic total energy: -6.326 eV per atom

```
data_CoSi2Rh
_chemical_formula_sum 'Co4 Si8 Rh4'
_symmetry_space_group_name_H-M 'F -4 3 m'
_symmetry_Int_Tables_number 216
_symmetry_space_group_name_Hall 'F -4 2 3'
_cell_length_a 5.891
_cell_length_b 5.891
_cell_length_c 5.891
_cell_angle_alpha 90.00
_cell_angle_beta 90.00
_cell_angle_gamma 90.00
loop_
_atom_site_label
_atom_site_type_symbol
_atom_site_fract_x
_atom_site_fract_y
_atom_site_fract_z
_atom_site_occupancy
Co1 Co 0.000 0.000 0.000 1
Si1 Si 0.000 0.000 0.500 1
Si2 Si 0.250 0.250 0.250 1
Rh1 Rh 0.250 0.250 0.750 1
```